Entry 1:
Computed, not measured: Sr2CrSO3 after structural relaxation at the PBE with a Hubbard U level of DFT.

Geometry as POSCAR:
```
Sr2CrSO3
1.0
3.9933 0.0000 0.0000
0.0000 3.9933 0.0000
0.0000 0.0000 13.7622
Sr Cr S O
4 2 2 6
direct
0.2500 0.2500 0.0983
0.2500 0.2500 0.3595
0.7500 0.7500 0.6405
0.7500 0.7500 0.9017
0.2500 0.2500 0.7786
0.7500 0.7500 0.2214
0.2500 0.2500 0.5871
0.7500 0.7500 0.4129
0.2500 0.2500 0.9192
0.2500 0.7500 0.2282
0.2500 0.7500 0.7718
0.7500 0.2500 0.2282
0.7500 0.2500 0.7718
0.7500 0.7500 0.0808
```

calculated total energy = -6.366 eV/atom

Entry 2:
Computed, not measured: RhWNO2 after structural relaxation at the PBE with a Hubbard U level of DFT.

Geometry as POSCAR:
```
RhWNO2
1.0
4.1419 0.0000 0.0000
0.0000 4.1419 0.0000
0.0000 0.0000 3.6612
Rh W N O
1 1 1 2
direct
0.0000 0.0000 0.0000
0.5000 0.5000 0.5000
0.0000 0.0000 0.5000
0.0000 0.5000 0.0000
0.5000 0.0000 0.0000
```

calculated total energy = -6.070 eV/atom